[1]
# Li6Cd5Ag2 (PBE-GGA, optimized geometry)
data_Li6Cd5Ag2
_symmetry_space_group_name_H-M 'P b a m'
_symmetry_Int_Tables_number 55
_symmetry_space_group_name_Hall '-P 2 2ab'
_cell_length_a 9.7362
_cell_length_b 16.4279
_cell_length_c 3.0743
_cell_angle_alpha 90.00
_cell_angle_beta 90.00
_cell_angle_gamma 90.00
loop_
_atom_site_label
_atom_site_type_symbol
_atom_site_fract_x
_atom_site_fract_y
_atom_site_fract_z
Li1 Li 0.0565 0.0828 0.0000
Li2 Li 0.0990 0.3727 0.0000
Li3 Li 0.1674 0.6412 0.5000
Cd1 Cd 0.0000 0.5000 0.5000
Cd2 Cd 0.0890 0.2316 0.5000
Cd3 Cd 0.1906 0.9557 0.5000
Ag1 Ag 0.1629 0.7900 0.0000
# **Energy of formation**: -195 kJ/mol of formula units
# **Crystal system**: orthorhombic

***

[2]
# Pr2MgZn3 (PBE-GGA, optimized geometry)
data_Pr2MgZn3
_symmetry_space_group_name_H-M 'F m m m'
_symmetry_Int_Tables_number 69
_symmetry_space_group_name_Hall '-F 2 2'
_cell_length_a 7.0168
_cell_length_b 9.6008
_cell_length_c 16.5877
_cell_angle_alpha 90.00
_cell_angle_beta 90.00
_cell_angle_gamma 90.00
loop_
_atom_site_label
_atom_site_type_symbol
_atom_site_fract_x
_atom_site_fract_y
_atom_site_fract_z
Pr1 Pr 0.2437 0.0000 0.0000
Pr2 Pr 0.2500 0.2500 0.2500
Mg1 Mg 0.0000 0.0000 0.3336
Zn1 Zn 0.0000 0.0000 0.1643
Zn2 Zn 0.0000 0.2460 0.0820
# **Energy above the lowest structure with this stoichiometry**: 46.6 meV per atom
# **Energy of formation**: -145 kJ/mol of formula units
# **Crystal system**: orthorhombic

***

[3]
# W3SBr7 (PBE-GGA, optimized geometry)
data_W3SBr7
_symmetry_space_group_name_H-M 'C 1 m 1'
_symmetry_Int_Tables_number 8
_symmetry_space_group_name_Hall 'C -2y'
_cell_length_a 12.0123
_cell_length_b 7.0238
_cell_length_c 9.3004
_cell_angle_alpha 90.00
_cell_angle_beta 128.79
_cell_angle_gamma 90.00
loop_
_atom_site_label
_atom_site_type_symbol
_atom_site_fract_x
_atom_site_fract_y
_atom_site_fract_z
W1 W 0.0000 0.0000 0.0000
W2 W 0.1894 0.2021 0.9952
S1 S 0.0101 0.0000 0.7549
Br1 Br 0.0282 0.5000 0.7972
Br2 Br 0.1635 0.2475 0.2468
Br3 Br 0.2853 0.2475 0.8031
Br4 Br 0.3807 0.5000 0.1798
Br5 Br 0.4027 0.0000 0.2382
# **Formation energy without anion corrections**: -0.44 eV/atom
# **Crystal system**: monoclinic

***

[4]
# Ta3BiPt (PBE-GGA, optimized geometry)
data_Ta3BiPt
_symmetry_space_group_name_H-M 'P m -3 m'
_symmetry_Int_Tables_number 221
_symmetry_space_group_name_Hall '-P 4 2 3'
_cell_length_a 5.0472
_cell_length_b 5.0472
_cell_length_c 5.0472
_cell_angle_alpha 90.00
_cell_angle_beta 90.00
_cell_angle_gamma 90.00
loop_
_atom_site_label
_atom_site_type_symbol
_atom_site_fract_x
_atom_site_fract_y
_atom_site_fract_z
Ta1 Ta 0.0000 0.0000 0.5000
Bi1 Bi 0.0000 0.0000 0.0000
Pt1 Pt 0.5000 0.5000 0.5000
# **Energy above the lowest structure with this stoichiometry**: 1410.1 meV per atom
# **Energy of formation**: 1168 kJ/mol of formula units
# **Crystal system**: cubic

***

[5]
# CdBW (PBE-GGA, optimized geometry)
data_CdBW
_symmetry_space_group_name_H-M 'P 1 21/m 1'
_symmetry_Int_Tables_number 11
_symmetry_space_group_name_Hall '-P 2yb'
_cell_length_a 3.1137
_cell_length_b 3.0263
_cell_length_c 9.3763
_cell_angle_alpha 90.00
_cell_angle_beta 90.26
_cell_angle_gamma 90.00
loop_
_atom_site_label
_atom_site_type_symbol
_atom_site_fract_x
_atom_site_fract_y
_atom_site_fract_z
Cd1 Cd 0.0052 0.2500 0.3592
B1 B 0.0007 0.2500 0.0530
W1 W 0.4982 0.2500 0.8679
# **Energy above the lowest structure with this stoichiometry**: 11.0 meV per atom
# **Energy of formation**: 2 kJ/mol of formula units
# **Crystal system**: monoclinic

***

[6]
# AcInAg2 (PBE-GGA, optimized geometry)
data_AcInAg2
_symmetry_space_group_name_H-M 'P 4/m m m'
_symmetry_Int_Tables_number 123
_symmetry_space_group_name_Hall '-P 4 2'
_cell_length_a 5.1133
_cell_length_b 5.1133
_cell_length_c 4.1083
_cell_angle_alpha 90.00
_cell_angle_beta 90.00
_cell_angle_gamma 90.00
loop_
_atom_site_label
_atom_site_type_symbol
_atom_site_fract_x
_atom_site_fract_y
_atom_site_fract_z
Ac1 Ac 0.0000 0.0000 0.0000
In1 In 0.5000 0.5000 0.0000
Ag1 Ag 0.0000 0.5000 0.5000
# **Energy of formation**: -49 kJ/mol of formula units
# **Crystal system**: tetragonal